# 1
Si23Pd3 | GGA-PBE | optimized geometry

Fermi-level density of states: 1.8 states/eV per cell
Formation energy without anion corrections: 0.240 eV per atom
E_tot: -134.1 eV per formula unit

Unit cell a=10.1130 b=10.1130 c=10.1130 alpha=90.00 beta=90.00 gamma=90.00
Space group Pm-3n (No. 223)
One atom of each set of equivalent atoms:
Si 0.0000 0.1158 0.3114 (multiplicity 24)
Si 0.0000 0.2500 0.5000 (multiplicity 6)
Si 0.1836 0.1836 0.1836 (multiplicity 16)
Pd 0.0000 0.5000 0.2500 (multiplicity 6)

# 2
Si23Pd4 | GGA-PBE | optimized geometry

Fermi-level density of states: 2.1 states/eV per cell
Formation energy without anion corrections: 0.266 eV per atom
E_tot: -138.3 eV per formula unit

Unit cell a=10.0970 b=10.0970 c=10.0970 alpha=90.00 beta=90.00 gamma=90.00
Space group Pm-3n (No. 223)
One atom of each set of equivalent atoms:
Si 0.0000 0.1157 0.3111 (multiplicity 24)
Si 0.0000 0.2500 0.5000 (multiplicity 6)
Si 0.1827 0.1827 0.1827 (multiplicity 16)
Pd 0.0000 0.0000 0.0000 (multiplicity 2)
Pd 0.0000 0.5000 0.2500 (multiplicity 6)

# 3
Si2Pd | GGA-PBE | optimized geometry

Fermi-level density of states: 2.5 states/eV per cell
Formation energy without anion corrections: -0.147 eV per atom
E_tot: -16.5 eV per formula unit

Unit cell a=5.8816 b=2.7500 c=5.9799 alpha=90.00 beta=99.50 gamma=90.00
Space group Pm (No. 6)
One atom of each set of equivalent atoms:
Si 0.0000 0.0000 0.0000 (multiplicity 1)
Si 0.0991 0.0000 0.4148 (multiplicity 1)
Si 0.4008 0.0000 0.9469 (multiplicity 1)
Si 0.7902 0.0000 0.6165 (multiplicity 1)
Pd 0.4358 0.5000 0.5825 (multiplicity 1)
Pd 0.7007 0.5000 0.1870 (multiplicity 1)

# 4
Si2Pd | GGA-PBE | optimized geometry

Fermi-level density of states: 3.9 states/eV per cell
Formation energy without anion corrections: -0.161 eV per atom
E_tot: -16.5 eV per formula unit

Unit cell a=3.0841 b=12.1891 c=4.7421 alpha=90.00 beta=95.53 gamma=90.00
Space group C2/c (No. 15)
One atom of each set of equivalent atoms:
Si 0.0000 0.0355 0.2500 (multiplicity 4)
Si 0.0000 0.3712 0.2500 (multiplicity 4)
Pd 0.0000 0.2969 0.7500 (multiplicity 4)

Which of these has the lowest E_tot? Si23Pd4

Which value of E_tot does entry 2 give? -138.3 eV per formula unit